Below is crystalline CuRh3 at its relaxed geometry, with properties calculated at the PBEsol level.

POSCAR file:
```
CuRh3
1.0
2.644 0.000 0.000
0.000 4.592 0.003
0.000 -1.561 4.319
Rh Cu
3 1
Direct
0.500 0.000 0.500
0.000 0.500 0.500
0.500 0.500 0.000
0.000 0.000 0.000
```

Properties
As for the spin magnetization: 0.0 μB per cell. The volume comes out at 13.112 A^3/atom. The value obtained for the calculated formation energy is 101.0 meV/atom.

=====

Below is crystalline CuNiSe2 at its relaxed geometry, with properties calculated at the PBEsol level.

POSCAR file:
```
CuNiSe2
1.0
-1.307 -2.879 -3.064
2.868 -1.483 -2.994
1.393 -4.174 0.164
Se Ni Cu
2 1 1
Direct
0.750 0.750 0.750
0.000 0.000 0.000
0.250 0.250 0.250
0.500 0.500 0.500
```

Properties
As for the spin magnetization: 0.0 μB per cell. For the raw formation energy, the calculation gives 0.525 eV per atom. The volume comes out at 15.092 A^3/atom.

=====

Below is crystalline BaCa2Re at its relaxed geometry, with properties calculated at the PBEsol level.

POSCAR file:
```
BaCa2Re
1.0
3.185 0.000 0.033
0.000 3.623 0.000
-0.164 0.000 10.551
Ca Ba Re
2 1 1
Direct
0.997 0.000 0.830
0.003 0.000 0.170
0.500 0.500 0.500
0.500 0.500 0.000
```

Properties
As for the spin magnetization: 0.0 μB per cell. The volume comes out at 30.446 A^3/atom. The value obtained for the calculated formation energy is 753.0 meV/atom.

=====

Below is crystalline TlCoIr at its relaxed geometry, with properties calculated at the PBEsol level.

POSCAR file:
```
TlCoIr
1.0
-0.130 -1.696 2.323
2.778 -0.677 -0.339
0.114 5.481 2.223
Co Ir Tl
1 1 1
Direct
0.986 0.986 0.972
0.352 0.352 0.705
0.661 0.661 0.323
```

Properties
As for the spin magnetization: 1.8 μB per cell. The volume comes out at 15.350 A^3/atom. The value obtained for the calculated formation energy is 459.2 meV/atom.

=====

Below is crystalline Pr2Al7Cu at its relaxed geometry, with properties calculated at the PBEsol level.

POSCAR file:
```
Pr2Al7Cu
1.0
4.225 0.000 0.000
0.000 4.225 0.000
0.000 0.000 10.926
Al Pr Cu
7 2 1
Direct
0.500 0.000 0.235
0.000 0.500 0.756
0.000 0.000 0.612
0.500 0.500 0.905
0.000 0.000 0.383
0.000 0.500 0.235
0.500 0.000 0.756
0.500 0.500 0.497
0.000 0.000 0.999
0.500 0.500 0.121
```

Properties
As for the spin magnetization: 0.0 μB per cell. The volume comes out at 19.503 A^3/atom. The value obtained for the calculated formation energy is -387.8 meV/atom.

=====

Below is crystalline ZrAsO3 at its relaxed geometry, with properties calculated at the PBEsol level.

POSCAR file:
```
ZrAsO3
1.0
-0.745 3.524 1.932
-1.790 -2.051 3.049
3.598 -0.290 1.917
Zr O As
1 3 1
Direct
0.500 0.500 0.500
0.500 0.000 0.500
0.000 0.500 0.500
0.500 0.500 0.000
0.000 0.000 0.000
```

Properties
As for the spin magnetization: 0.0 μB per cell. For the raw formation energy, the calculation gives -1.653 eV per atom. The volume comes out at 13.656 A^3/atom.

=====

- The highest spin magnetization belongs to which entry?
  TlCoIr